1.
Entry from Alexandria: a geometry-optimized Cd7Au3 structure (GGA-PBE).

Lattice parameters (Å, degrees): 15.002 4.601 6.201 90.00 102.88 90.00
Space group C2/m (No. 12)
Asymmetric unit:
Cd 0.000 0.000 0.000
Cd 0.088 0.500 0.357
Cd 0.125 0.500 0.889
Cd 0.199 0.000 0.662
Au 0.000 0.000 0.500
Au 0.189 0.000 0.183

Computed properties:
The calculation puts the energy of formation from the pure elements at -117 meV per atom.

2.
Entry from Alexandria: a geometry-optimized Ce6ErTh8 structure (GGA-PBE).

Lattice parameters (Å, degrees): 9.3061 9.3061 6.4579 90.00 90.00 120.00
Space group P-3 (No. 147)
Asymmetric unit:
Ce 0.0657 0.6439 0.1300
Er 0.0000 0.0000 0.0000
Th 0.0105 0.7177 0.6433
Th 0.3333 0.6667 0.5917

Computed properties:
The calculation puts the energy of formation from the pure elements at 274 meV per atom.

3.
Entry from Alexandria: a geometry-optimized CaHf2PtBr structure (GGA-PBE).

Lattice parameters (Å, degrees): 5.207 5.207 4.916 90.00 90.00 90.00
Space group P4/mmm (No. 123)
Asymmetric unit:
Ca 0.000 0.000 0.000
Hf 0.000 0.500 0.000
Pt 0.500 0.500 0.500
Br 0.000 0.000 0.500

Computed properties:
The value obtained for the uncorrected formation energy is 1.525 eV per atom.

4.
Entry from Alexandria: a geometry-optimized KAlCu2Te4 structure (GGA-PBE).

Lattice parameters (Å, degrees): 7.136 7.136 9.501 90.00 90.00 90.00
Space group I-42m (No. 121)
Asymmetric unit:
K 0.000 0.000 0.000
Al 0.000 0.000 0.500
Cu 0.000 0.500 0.250
Te 0.208 0.208 0.667

Computed properties:
The value obtained for the uncorrected formation energy is -0.253 eV per atom.

no.,M_tot (μB/atom)
1,0.000
2,0.279
3,0.000
4,0.000